[1]
A relaxed structure of SnSb2Pb2. Source: Alexandria, functional PBE-GGA.

Unit cell a=8.9521 b=8.9521 c=3.8419 alpha=90.00 beta=90.00 gamma=90.00
Space group P4/mbm (No. 127)
Unique sites:
Sn (0.0000, 0.0000, 0.0000)
Sb (0.1607, 0.3393, 0.5000)
Pb (0.1389, 0.6389, 0.0000)

Energy above the most stable polymorph in this dataset, meV per atom: 136
Total energy, eV per atom: -3.73
Fermi-level density of states, states/eV per cell: 6.1
Energy relative to the elements, uncorrected, eV/f.u.: 1.04

***

[2]
A relaxed structure of SnSb4Pb15. Source: Alexandria, functional PBE-GGA.

Unit cell a=5.0416 b=5.0416 c=24.2989 alpha=90.00 beta=90.00 gamma=90.00
Space group P4/mmm (No. 123)
Unique sites:
Sn (0.0000, 0.0000, 0.0000)
Sb (0.0000, 0.0000, 0.2013)
Sb (0.0000, 0.0000, 0.4007)
Pb (0.0000, 0.5000, 0.0998)
Pb (0.0000, 0.5000, 0.3003)
Pb (0.0000, 0.5000, 0.5000)
Pb (0.5000, 0.5000, 0.0000)
Pb (0.5000, 0.5000, 0.1991)
Pb (0.5000, 0.5000, 0.3996)

Total energy, eV per atom: -3.77
Fermi-level density of states, states/eV per cell: 12.0
Energy relative to the elements, uncorrected, eV/f.u.: 0.76

***

[3]
A relaxed structure of SnSbPb6. Source: Alexandria, functional PBE-GGA.

Unit cell a=5.1862 b=5.1862 c=9.1520 alpha=90.00 beta=90.00 gamma=90.00
Space group P4/mmm (No. 123)
Unique sites:
Sn (0.0000, 0.0000, 0.0000)
Sb (0.0000, 0.0000, 0.5000)
Pb (0.0000, 0.5000, 0.2484)
Pb (0.5000, 0.5000, 0.0000)
Pb (0.5000, 0.5000, 0.5000)

Energy above the most stable polymorph in this dataset, meV per atom: 0
Total energy, eV per atom: -3.75
Fermi-level density of states, states/eV per cell: 4.7
Energy relative to the elements, uncorrected, eV/f.u.: 0.36

***

[4]
A relaxed structure of SrSnSb3Pb. Source: Alexandria, functional PBE-GGA.

Unit cell a=8.8332 b=4.4651 c=11.8791 alpha=90.00 beta=108.62 gamma=90.00
Space group P2_1/m (No. 11)
Unique sites:
Sr (0.2423, 0.2500, 0.2719)
Sn (0.3133, 0.2500, 0.9167)
Sb (0.0284, 0.2500, 0.6930)
Sb (0.3546, 0.7500, 0.0895)
Sb (0.4565, 0.2500, 0.5683)
Pb (0.1802, 0.7500, 0.5816)

Total energy, eV per atom: -3.88
Fermi-level density of states, states/eV per cell: 4.8
Energy relative to the elements, uncorrected, eV/f.u.: -1.53

***

[5]
A relaxed structure of SrSnSbPb2. Source: Alexandria, functional PBE-GGA.

Unit cell a=5.7911 b=5.7911 c=5.8513 alpha=90.00 beta=90.00 gamma=90.00
Space group P4/mmm (No. 123)
Unique sites:
Sr (0.0000, 0.0000, 0.0000)
Sn (0.5000, 0.5000, 0.5000)
Sb (0.5000, 0.5000, 0.0000)
Pb (0.0000, 0.5000, 0.5000)

Total energy, eV per atom: -3.28
Fermi-level density of states, states/eV per cell: 3.6
Energy relative to the elements, uncorrected, eV/f.u.: 0.84

***

[6]
A relaxed structure of SnSb2TePb. Source: Alexandria, functional PBE-GGA.

Unit cell a=5.6518 b=5.6518 c=5.7271 alpha=90.00 beta=90.00 gamma=90.00
Space group P4/mmm (No. 123)
Unique sites:
Sn (0.0000, 0.0000, 0.0000)
Sb (0.0000, 0.5000, 0.0000)
Te (0.0000, 0.0000, 0.5000)
Pb (0.5000, 0.5000, 0.5000)

Energy above the most stable polymorph in this dataset, meV per atom: 0
Total energy, eV per atom: -3.29
Fermi-level density of states, states/eV per cell: 6.5
Energy relative to the elements, uncorrected, eV/f.u.: 2.64

***

[7]
A relaxed structure of SnSbTe2Pb. Source: Alexandria, functional PBE-GGA.

Unit cell a=5.7118 b=5.7118 c=5.6544 alpha=90.00 beta=90.00 gamma=90.00
Space group P4/mmm (No. 123)
Unique sites:
Sn (0.0000, 0.0000, 0.0000)
Sb (0.0000, 0.0000, 0.5000)
Te (0.0000, 0.5000, 0.0000)
Pb (0.5000, 0.5000, 0.5000)

Energy above the most stable polymorph in this dataset, meV per atom: 0
Total energy, eV per atom: -3.23
Fermi-level density of states, states/eV per cell: 6.1
Energy relative to the elements, uncorrected, eV/f.u.: 1.97

***

[8]
A relaxed structure of SnSb2TePb. Source: Alexandria, functional PBE-GGA.

Unit cell a=5.7734 b=5.7734 c=5.8068 alpha=90.00 beta=90.00 gamma=90.00
Space group P4/mmm (No. 123)
Unique sites:
Sn (0.0000, 0.0000, 0.0000)
Sb (0.0000, 0.5000, 0.5000)
Te (0.5000, 0.5000, 0.0000)
Pb (0.5000, 0.5000, 0.5000)

Energy above the most stable polymorph in this dataset, meV per atom: 234
Total energy, eV per atom: -3.06
Fermi-level density of states, states/eV per cell: 6.9
Energy relative to the elements, uncorrected, eV/f.u.: 3.81

***

[9]
A relaxed structure of SnSbTe4Pb2. Source: Alexandria, functional PBE-GGA.

Unit cell a=7.9179 b=4.3841 c=8.0889 alpha=90.00 beta=107.03 gamma=90.00
Space group P2/m (No. 10)
Unique sites:
Sn (0.0000, 0.0000, 0.0000)
Sb (0.5000, 0.5000, 0.0000)
Te (0.2501, 0.5000, 0.2389)
Te (0.2561, 0.0000, 0.7614)
Pb (0.0000, 0.5000, 0.5000)
Pb (0.5000, 0.0000, 0.5000)

Total energy, eV per atom: -3.74
Fermi-level density of states, states/eV per cell: 2.3
Energy relative to the elements, uncorrected, eV/f.u.: -1.81

***

[10]
A relaxed structure of SnSbTe2Pb. Source: Alexandria, functional PBE-GGA.

Unit cell a=5.8072 b=5.8072 c=5.7924 alpha=90.00 beta=90.00 gamma=90.00
Space group P4/mmm (No. 123)
Unique sites:
Sn (0.0000, 0.0000, 0.0000)
Sb (0.5000, 0.5000, 0.0000)
Te (0.0000, 0.5000, 0.5000)
Pb (0.5000, 0.5000, 0.5000)

Energy above the most stable polymorph in this dataset, meV per atom: 234
Total energy, eV per atom: -3.00
Fermi-level density of states, states/eV per cell: 6.1
Energy relative to the elements, uncorrected, eV/f.u.: 3.14

***

- Which formula does entry 9 have?
  SnSbTe4Pb2